## NaSn3Bi (PBE)

Data for an optimized crystal structure of NaSn3Bi.

Values from the calculation:
Total magnetic moment   0.00 Bohr magnetons per cell
Space-group type   R3m, No. 160
ΔE_f   0.8 eV/f.u.
Energy above the most stable polymorph in this dataset   0.0 meV per atom
N(E_F)   3.8 states/eV/f.u.
Mass density   6.0 g/cm³

Unit cell a=5.8855 b=5.8855 c=5.8855 alpha=108.50 beta=108.50 gamma=108.50
Last column: nearest neighbours and their distance in Å.
Fractional coordinates of all 5 atoms:
Na (0.0000, 0.0000, 0.0000)  2 Bi 2.95-3.22, 6 Sn 2.97-3.07
Sn (0.1186, 0.1186, 0.5838)  2 Na 2.97-3.07, 1 Bi 2.99
Sn (0.1186, 0.5838, 0.1186)  2 Na 2.97-3.07, 1 Bi 2.99
Sn (0.5838, 0.1186, 0.1186)  2 Na 2.97-3.07, 1 Bi 2.99
Bi (0.5218, 0.5218, 0.5218)  2 Na 2.95-3.22, 3 Sn 2.99